# CaPrHgAu PBE-GGA optimized geometry
data_CaPrHgAu
_chemical_formula_sum 'Ca4 Pr4 Hg4 Au4'
_symmetry_space_group_name_H-M 'F -4 3 m'
_symmetry_Int_Tables_number 216
_symmetry_space_group_name_Hall 'F -4 2 3'
_cell_length_a 7.509
_cell_length_b 7.509
_cell_length_c 7.509
_cell_angle_alpha 90.00
_cell_angle_beta 90.00
_cell_angle_gamma 90.00
loop_
_atom_site_label
_atom_site_type_symbol
_atom_site_fract_x
_atom_site_fract_y
_atom_site_fract_z
_atom_site_occupancy
Ca1 Ca 0.000 0.000 0.000 1
Pr1 Pr 0.000 0.000 0.500 1
Hg1 Hg 0.250 0.250 0.250 1
Au1 Au 0.250 0.250 0.750 1
# VASP energy: -12.96 eV/f.u.
# DFT formation energy: -649.2 meV per atom
# volume: 423.4 Å³/cell



# LaZn4Ge2 PBE-GGA optimized geometry
data_LaZn4Ge2
_chemical_formula_sum 'La3 Zn12 Ge6'
_symmetry_space_group_name_H-M 'R -3 m'
_symmetry_Int_Tables_number 166
_symmetry_space_group_name_Hall '-R 3 2"'
_cell_length_a 4.4761
_cell_length_b 4.4761
_cell_length_c 23.1791
_cell_angle_alpha 90.00
_cell_angle_beta 90.00
_cell_angle_gamma 120.00
loop_
_atom_site_label
_atom_site_type_symbol
_atom_site_fract_x
_atom_site_fract_y
_atom_site_fract_z
_atom_site_occupancy
La1 La 0.0000 0.0000 0.0000 1
Zn1 Zn 0.0000 0.0000 0.1412 1
Zn2 Zn 0.0000 0.0000 0.4383 1
Ge1 Ge 0.0000 0.0000 0.2543 1
# VASP energy: -20.93 eV/f.u.
# DFT formation energy: -238.4 meV per atom
# volume: 402.2 Å³/cell



# Tb6InPt PBE-GGA optimized geometry
data_Tb6InPt
_chemical_formula_sum 'Tb6 In1 Pt1'
_symmetry_space_group_name_H-M 'P -1'
_symmetry_Int_Tables_number 2
_cell_length_a 7.114
_cell_length_b 7.125
_cell_length_c 7.282
_cell_angle_alpha 90.22
_cell_angle_beta 118.99
_cell_angle_gamma 119.86
loop_
_symmetry_equiv_pos_as_xyz
'x,y,z'
'-x,-y,-z'
loop_
_atom_site_label
_atom_site_type_symbol
_atom_site_fract_x
_atom_site_fract_y
_atom_site_fract_z
_atom_site_occupancy
Tb1 Tb 0.035 0.071 0.255 1
Tb2 Tb 0.290 0.720 0.255 1
Tb3 Tb 0.313 0.534 0.745 1
In1 In 0.500 0.000 0.000 1
Pt1 Pt 0.500 0.500 0.500 1
# VASP energy: -37.94 eV/f.u.
# DFT formation energy: -171.8 meV per atom
# volume: 265.0 Å³/cell



# AlReAs PBE-GGA optimized geometry
data_AlReAs
_chemical_formula_sum 'Al6 Re6 As6'
_symmetry_space_group_name_H-M 'R -3 m'
_symmetry_Int_Tables_number 166
_symmetry_space_group_name_Hall '-R 3 2"'
_cell_length_a 4.3938
_cell_length_b 4.3938
_cell_length_c 18.7291
_cell_angle_alpha 90.00
_cell_angle_beta 90.00
_cell_angle_gamma 120.00
loop_
_atom_site_label
_atom_site_type_symbol
_atom_site_fract_x
_atom_site_fract_y
_atom_site_fract_z
_atom_site_occupancy
Al1 Al 0.0000 0.0000 0.1263 1
Re1 Re 0.0000 0.0000 0.4360 1
As1 As 0.0000 0.0000 0.2865 1
# VASP energy: -20.44 eV/f.u.
# E above lowest polymorph: 164 meV per atom
# DFT formation energy: 134.9 meV per atom
# volume: 313.1 Å³/cell



# Pr12ZnCu6 PBE-GGA optimized geometry
data_Pr12ZnCu6
_chemical_formula_sum 'Pr36 Zn3 Cu18'
_symmetry_space_group_name_H-M 'R -3'
_symmetry_Int_Tables_number 148
_symmetry_space_group_name_Hall '-R 3'
_cell_length_a 13.1789
_cell_length_b 13.1789
_cell_length_c 11.7668
_cell_angle_alpha 90.00
_cell_angle_beta 90.00
_cell_angle_gamma 120.00
loop_
_atom_site_label
_atom_site_type_symbol
_atom_site_fract_x
_atom_site_fract_y
_atom_site_fract_z
_atom_site_occupancy
Pr1 Pr 0.0234 0.8210 0.3845 1
Pr2 Pr 0.0317 0.8236 0.8802 1
Zn1 Zn 0.0000 0.0000 0.0000 1
Cu1 Cu 0.0388 0.7773 0.6404 1
# VASP energy: -81.20 eV/f.u.
# DFT formation energy: 105.3 meV per atom
# volume: 1769.9 Å³/cell



# MgCuAu4 PBE-GGA optimized geometry
data_MgCuAu4
_chemical_formula_sum 'Mg2 Cu2 Au8'
_symmetry_space_group_name_H-M 'C 1 2/m 1'
_symmetry_Int_Tables_number 12
_cell_length_a 9.660
_cell_length_b 3.768
_cell_length_c 5.916
_cell_angle_alpha 90.00
_cell_angle_beta 108.13
_cell_angle_gamma 90.00
loop_
_symmetry_equiv_pos_as_xyz
'x,y,z'
'-x,-y,-z'
'-x,y,-z'
'x,-y,z'
'x+1/2,y+1/2,z'
'-x+1/2,-y+1/2,-z'
'-x+1/2,y+1/2,-z'
'x+1/2,-y+1/2,z'
loop_
_atom_site_label
_atom_site_type_symbol
_atom_site_fract_x
_atom_site_fract_y
_atom_site_fract_z
_atom_site_occupancy
Mg1 Mg 0.000 0.000 0.000 1
Cu1 Cu 0.000 0.000 0.500 1
Au1 Au 0.154 0.500 0.334 1
Au2 Au 0.162 0.500 0.826 1
# VASP energy: -20.26 eV/f.u.
# E above lowest polymorph: 0 meV per atom
# DFT formation energy: -243.5 meV per atom
# volume: 204.7 Å³/cell